First-principles (PBE) data for crystalline MgAgSe2 at its relaxed geometry, as listed in Alexandria via LeMat-Bulk.

Cell lengths 3.9731, 6.2245, 7.2683 Å; angles 90.00, 90.00, 90.00 degrees
Last column: nearest neighbours and their distance in Å.
Space group Cmmm (No. 65)
Inequivalent atoms, fractional coordinates:
Mg 0.0000 0.0000 0.0000 x2  4 Se 2.64
Ag 0.0000 0.0000 0.5000 x2  4 Se 2.74
Se 0.0000 0.5000 0.2401 x4  2 Mg 2.64, 2 Ag 2.74

Values from the calculation:
As for the uncorrected formation energy: -313 meV per atom. The density of states at the Fermi level comes out at 0.711 states/eV per atom. The magnetic moment comes out at 0.000 μB/f.u. As for the calculated total energy: -3.1665 eV per atom.